Record 1
A relaxed structure of CrMo2Se. Source: Alexandria, functional PBE.

Output
- volume (Å³ per atom) = 15.00
- calculated density (kg/m3) = 8933

a b c (Å): 4.7455 4.7455 4.5683
angles (deg): 105.06 105.06 37.34
With the nearest neighbours (Å) after each atom.
Positions (direct):
Cr  0.0000  0.0000  0.0000  7 Mo 2.52-2.76, 2 Se 2.79
Mo  0.2675  0.2675  0.8708  3 Cr 2.52-2.63, 2 Se 2.67
Mo  0.4911  0.4911  0.4904  3 Se 2.59-2.60, 4 Cr 2.73-2.76
Se  0.7477  0.7477  0.3381  7 Mo 2.59-2.83, 2 Cr 2.79

***

Record 2
A relaxed structure of CrMo2Se. Source: Alexandria, functional PBE.

Output
- volume (Å³ per atom) = 15.09
- calculated density (kg/m3) = 8878

a b c (Å): 2.9540 4.0363 5.0641
angles (deg): 90.00 90.00 90.00
With the nearest neighbours (Å) after each atom.
Positions (direct):
Cr  0.0000  0.0000  0.0000  2 Se 2.53, 8 Mo 2.78
Mo  0.4972  0.5000  0.7603  2 Mo 2.43-2.64
Mo  0.5028  0.5000  0.2397  2 Mo 2.43-2.64
Se  0.0000  0.0000  0.5000  2 Cr 2.53, 8 Mo 2.82-2.83

***

Record 3
A relaxed structure of CrMoSe4. Source: Alexandria, functional PBE.

Output
- volume (Å³ per atom) = 22.17
- calculated density (kg/m3) = 5789

a b c (Å): 5.7300 5.7300 5.7300
angles (deg): 60.00 60.00 60.00
With the nearest neighbours (Å) after each atom.
Positions (direct):
Cr  0.0000  0.0000  0.0000  12 Se 3.36, 4 Mo 3.51
Mo  0.7500  0.7500  0.7500  12 Se 3.36, 4 Cr 3.51
Se  0.3752  0.3752  0.3752  6 Se 2.86-2.87
Se  0.3752  0.3752  0.8744  6 Se 2.86-2.87
Se  0.3752  0.8744  0.3752  6 Se 2.86-2.87
Se  0.8744  0.3752  0.3752  6 Se 2.86-2.87

***

Record 4
A relaxed structure of CrMo2Se. Source: Alexandria, functional PBE.

Output
- volume (Å³ per atom) = 14.87
- calculated density (kg/m3) = 9015

a b c (Å): 3.0175 3.0175 6.5307
angles (deg): 90.00 90.00 90.00
With the nearest neighbours (Å) after each atom.
Positions (direct):
Cr  0.0000  0.0000  0.0000  8 Mo 2.63
Mo  0.5000  0.5000  0.2349  4 Cr 2.63, 4 Se 2.75
Mo  0.5000  0.5000  0.7651  4 Cr 2.63, 4 Se 2.75
Se  0.0000  0.0000  0.5000  8 Mo 2.75, 4 Se 3.02

***

Record 5
A relaxed structure of CrMo2Se2. Source: Alexandria, functional PBE.

Output
- volume (Å³ per atom) = 19.36
- calculated density (kg/m3) = 6893

a b c (Å): 5.3728 5.3728 5.3728
angles (deg): 126.56 126.56 78.97
With the nearest neighbours (Å) after each atom.
Positions (direct):
Cr  0.0000  0.0000  0.0000  2 Mo 3.03, 8 Se 3.18
Mo  0.3650  0.3650  0.0000  1 Mo 2.24
Mo  0.6350  0.6350  0.0000  1 Mo 2.24
Se  0.2500  0.7500  0.5000  4 Mo 2.60
Se  0.7500  0.2500  0.5000  4 Mo 2.60

***

Record 6
A relaxed structure of CrMo2Se. Source: Alexandria, functional PBE.

Output
- volume (Å³ per atom) = 15.77
- calculated density (kg/m3) = 8501

a b c (Å): 2.8646 2.8646 8.2831
angles (deg): 90.00 90.00 111.90
With the nearest neighbours (Å) after each atom.
Positions (direct):
Cr  0.0000  0.0000  0.0000  2 Se 2.52, 2 Mo 2.56
Mo  0.0000  0.0000  0.5063  6 Mo 2.64-2.86, 2 Se 2.76
Mo  0.5000  0.5000  0.7592  2 Cr 2.56, 6 Mo 2.64-2.86
Se  0.5000  0.5000  0.2353  2 Cr 2.52, 2 Mo 2.76

***

Number 1: D(E_F) 0.9266 states/eV per atom, DFT total energy -33.76 eV/f.u.. Number 2: D(E_F) 0.8983 states/eV per atom, DFT total energy -33.49 eV/f.u.. Number 3: D(E_F) 0.7731 states/eV per atom, DFT total energy -27.51 eV/f.u.. Number 4: D(E_F) 1.0768 states/eV per atom, DFT total energy -34.05 eV/f.u.. Number 5: D(E_F) 0.6868 states/eV per atom, DFT total energy -36.31 eV/f.u.. Number 6: D(E_F) 1.1204 states/eV per atom, DFT total energy -33.27 eV/f.u..